# 1
DFT (GGA-PBE) results for a relaxed Ca3Ga6SiAu2 crystal.

Lattice parameters (Å, degrees): 5.410 5.410 10.274 90.00 90.00 120.00
Sites, in units of the cell vectors:
Ga  0.668  0.834  0.273
Ca  0.000  0.000  0.000
Ga  0.166  0.332  0.273
Ga  0.166  0.834  0.273
Ga  0.834  0.166  0.727
Si  0.000  0.000  0.500
Au  0.333  0.667  0.050
Ca  0.333  0.667  0.569
Ga  0.332  0.166  0.727
Ca  0.667  0.333  0.431
Ga  0.834  0.668  0.727
Au  0.667  0.333  0.950

Calculated values
As for the total energy: -3.30 eV per atom. The calculation puts the calculated volume at 21.7 Å³/atom. The uncorrected formation energy is -0.2858 eV/atom.

=====

# 2
DFT (GGA-PBE) results for a relaxed Ca2Ga2SiAu4 crystal.

Lattice parameters (Å, degrees): 6.333 6.333 6.333 96.66 116.23 116.23
Sites, in units of the cell vectors:
Au  0.527  0.264  0.264
Au  0.473  0.736  0.736
Ca  0.500  0.250  0.750
Au  0.000  0.264  0.736
Si  0.000  0.000  0.000
Ga  0.000  0.686  0.686
Ga  0.000  0.314  0.314
Au  0.000  0.736  0.264
Ca  0.500  0.750  0.250

Calculated values
As for the total energy: -3.67 eV per atom. The calculation puts the calculated volume at 20.9 Å³/atom. The uncorrected formation energy is -0.4926 eV/atom.

=====

# 3
DFT (GGA-PBE) results for a relaxed CaGa2SiAu5 crystal.

Lattice parameters (Å, degrees): 4.820 6.001 7.745 112.79 108.13 90.00
Sites, in units of the cell vectors:
Au  0.353  0.113  0.706
Ca  0.000  0.500  0.000
Ga  0.806  0.806  0.613
Au  0.353  0.593  0.706
Ga  0.194  0.194  0.387
Au  0.000  0.000  0.000
Au  0.647  0.407  0.294
Au  0.647  0.887  0.294
Si  0.500  0.000  0.000

Calculated values
As for the total energy: -3.56 eV per atom. The calculation puts the calculated volume at 21.6 Å³/atom. The uncorrected formation energy is -0.2377 eV/atom.

=====

# 4
DFT (GGA-PBE) results for a relaxed Ca2GaSi2Au6 crystal.

Lattice parameters (Å, degrees): 6.754 6.754 8.598 66.87 66.87 60.00
Sites, in units of the cell vectors:
Au  0.230  0.816  0.724
Au  0.230  0.230  0.724
Ga  0.000  0.000  0.000
Si  0.551  0.551  0.346
Ca  0.213  0.213  0.362
Au  0.184  0.770  0.276
Au  0.770  0.184  0.276
Au  0.816  0.230  0.724
Au  0.770  0.770  0.276
Ca  0.787  0.787  0.638
Si  0.449  0.449  0.654

Calculated values
As for the total energy: -3.71 eV per atom. The calculation puts the calculated volume at 27.5 Å³/atom. The uncorrected formation energy is -0.2979 eV/atom.

=====

Quick rundown of spin magnetization, same order as above: 0.00; 0.00; 0.00; 0.00 Bohr magnetons per cell